No. 1
{"formula": "Cu2BrO", "functional": "PBE-GGA", "state": "optimized geometry", "crystal_system": "cubic", "de_polymorph_mev_per_atom": 754, "energy_ev_per_atom": -3.318, "vol_a3_per_cell": 54.02, "dos_at_fermi_per_ev_atom": 1.12, "lattice": [[0.000, 3.000, 3.000], [3.000, 0.000, 3.000], [3.000, 3.000, 0.000]], "species": ["O", "Cu", "Cu", "Br"], "frac_coords": [[0.000, 0.000, 0.000], [0.250, 0.250, 0.250], [0.750, 0.750, 0.750], [0.500, 0.500, 0.500]]}

=====

No. 2
{"formula": "DyTh3Tl4", "functional": "PBE-GGA", "state": "optimized geometry", "crystal_system": "orthorhombic", "de_polymorph_mev_per_atom": 78, "ef_ev_per_fu": -0.9, "energy_ev_per_atom": -4.655, "vol_a3_per_cell": 464.81, "dos_at_fermi_per_ev_atom": 1.08, "lattice": [[6.826, 0.000, 0.000], [0.000, 6.916, 0.000], [0.000, 0.000, 9.846]], "species": ["Dy", "Dy", "Th", "Th", "Th", "Th", "Th", "Th", "Tl", "Tl", "Tl", "Tl", "Tl", "Tl", "Tl", "Tl"], "frac_coords": [[0.814, 0.500, 0.000], [0.314, 0.500, 0.500], [0.814, 0.000, 0.000], [0.064, 0.765, 0.250], [0.564, 0.235, 0.250], [0.314, 0.000, 0.500], [0.564, 0.235, 0.750], [0.064, 0.765, 0.750], [0.314, 0.001, 0.000], [0.315, 0.500, 0.000], [0.064, 0.263, 0.250], [0.564, 0.737, 0.250], [0.815, 0.500, 0.500], [0.814, 0.999, 0.500], [0.564, 0.737, 0.750], [0.064, 0.263, 0.750]]}

=====

No. 3
{"formula": "KSr2AlF8", "functional": "PBE-GGA", "state": "optimized geometry", "crystal_system": "triclinic", "energy_ev_per_atom": -5.508, "vol_a3_per_cell": 196.28, "dos_at_fermi_per_ev_atom": 0.00, "lattice": [[-0.871, 3.009, 3.730], [-4.760, 0.923, -2.097], [-2.904, -5.807, 4.012]], "species": ["K", "Sr", "Sr", "Al", "F", "F", "F", "F", "F", "F", "F", "F"], "frac_coords": [[0.000, 0.000, 0.500], [0.499, 0.499, 0.761], [0.501, 0.501, 0.239], [0.000, 0.000, 0.000], [0.139, 0.798, 0.174], [0.695, 0.780, 0.999], [0.859, 0.199, 0.174], [0.861, 0.202, 0.826], [0.305, 0.220, 0.001], [0.141, 0.801, 0.826], [0.577, 0.737, 0.500], [0.423, 0.263, 0.500]]}

=====

No. 4
{"formula": "K3TeH", "functional": "PBE-GGA", "state": "optimized geometry", "crystal_system": "orthorhombic", "de_polymorph_mev_per_atom": 57, "energy_ev_per_atom": -2.607, "vol_a3_per_cell": 686.83, "dos_at_fermi_per_ev_atom": 0.00, "lattice": [[-7.202, -21.811, -10.858], [5.535, -3.580, 3.519], [0.428, 7.306, 6.759]], "species": ["H", "H", "H", "H", "K", "K", "K", "K", "K", "K", "K", "K", "K", "K", "K", "K", "Te", "Te", "Te", "Te"], "frac_coords": [[0.122, 0.251, 0.622], [0.878, 0.749, 0.378], [0.378, 0.751, 0.878], [0.622, 0.249, 0.122], [0.250, 0.000, 0.750], [0.750, 0.000, 0.250], [0.250, 0.500, 0.750], [0.750, 0.500, 0.250], [0.383, 0.250, 0.382], [0.617, 0.750, 0.618], [0.117, 0.750, 0.118], [0.883, 0.250, 0.882], [0.536, 0.751, 0.035], [0.464, 0.249, 0.965], [0.964, 0.251, 0.465], [0.036, 0.749, 0.535], [0.400, 0.750, 0.399], [0.600, 0.250, 0.601], [0.100, 0.250, 0.101], [0.900, 0.750, 0.899]]}

=====

No. 5
{"formula": "Pr2Er12Tm", "functional": "PBE-GGA", "state": "optimized geometry", "crystal_system": "monoclinic", "ef_ev_per_fu": 2.5, "energy_ev_per_atom": -4.420, "vol_a3_per_cell": 971.73, "dos_at_fermi_per_ev_atom": 1.49, "lattice": [[-0.229, -6.044, 2.300], [5.203, -3.648, -1.219], [19.593, 11.867, 16.243]], "species": ["Pr", "Pr", "Pr", "Pr", "Er", "Er", "Er", "Er", "Er", "Er", "Er", "Er", "Er", "Er", "Er", "Er", "Er", "Er", "Er", "Er", "Er", "Er", "Er", "Er", "Er", "Er", "Er", "Er", "Tm", "Tm"], "frac_coords": [[0.979, 0.521, 0.141], [0.448, 0.052, 0.121], [0.521, 0.979, 0.859], [0.052, 0.448, 0.879], [0.087, 0.880, 0.063], [0.620, 0.413, 0.063], [0.183, 0.317, 0.264], [0.195, 0.684, 0.552], [0.426, 0.573, 0.802], [0.305, 0.816, 0.448], [0.533, 0.479, 0.322], [0.927, 0.074, 0.802], [0.663, 0.837, 0.251], [0.317, 0.183, 0.736], [0.109, 0.391, 0.376], [0.967, 0.021, 0.678], [0.573, 0.426, 0.198], [0.391, 0.109, 0.624], [0.837, 0.663, 0.749], [0.875, 0.625, 0.624], [0.625, 0.875, 0.376], [0.413, 0.620, 0.937], [0.020, 0.967, 0.322], [0.074, 0.927, 0.198], [0.816, 0.305, 0.552], [0.880, 0.087, 0.937], [0.480, 0.533, 0.678], [0.684, 0.195, 0.448], [0.497, 0.003, 0.000], [0.003, 0.497, 0.000]]}

=====

No. 6
{"formula": "Pm12PrPb7", "functional": "PBE-GGA", "state": "optimized geometry", "crystal_system": "trigonal", "ef_ev_per_fu": -6.3, "energy_ev_per_atom": -4.700, "vol_a3_per_cell": 655.51, "dos_at_fermi_per_ev_atom": 1.17, "lattice": [[9.634, -0.433, -0.650], [-3.095, 9.134, -0.650], [-3.095, -4.118, 8.179]], "species": ["Pm", "Pm", "Pm", "Pm", "Pm", "Pm", "Pm", "Pm", "Pm", "Pm", "Pm", "Pm", "Pr", "Pb", "Pb", "Pb", "Pb", "Pb", "Pb", "Pb"], "frac_coords": [[0.000, 0.276, 0.724], [0.724, 0.276, 0.000], [0.495, 0.160, 0.494], [0.840, 0.506, 0.505], [0.276, 0.000, 0.724], [0.506, 0.505, 0.840], [0.494, 0.495, 0.160], [0.724, 0.000, 0.276], [0.160, 0.494, 0.495], [0.505, 0.840, 0.506], [0.276, 0.724, 0.000], [0.000, 0.724, 0.276], [0.000, 0.000, 0.000], [0.864, 0.555, 0.864], [0.445, 0.136, 0.136], [0.136, 0.136, 0.445], [0.500, 0.500, 0.500], [0.864, 0.864, 0.555], [0.555, 0.864, 0.864], [0.136, 0.445, 0.136]]}

=====

No. 7
{"formula": "GaHPd3", "functional": "PBE-GGA", "state": "optimized geometry", "crystal_system": "monoclinic", "de_polymorph_mev_per_atom": 198, "energy_ev_per_atom": -4.641, "vol_a3_per_cell": 134.94, "dos_at_fermi_per_ev_atom": 0.36, "lattice": [[14.968, 0.000, -2.242], [5.909, 1.429, -4.039], [-5.909, 1.429, 4.039]], "species": ["H", "H", "Ga", "Ga", "Pd", "Pd", "Pd", "Pd", "Pd", "Pd"], "frac_coords": [[0.591, 0.022, 0.978], [0.409, 0.978, 0.022], [0.922, 0.963, 0.037], [0.078, 0.037, 0.963], [0.726, 0.299, 0.701], [0.274, 0.701, 0.299], [0.167, 0.131, 0.869], [0.833, 0.869, 0.131], [0.454, 0.709, 0.291], [0.546, 0.291, 0.709]]}